Here is crystalline BaPtPb2 at its relaxed geometry from Alexandria. Energies are from GGA-PBEsol.

Calculated values
ρ = 10.282 g cm⁻³
Crystal system = orthorhombic
Energy relative to the elements = -1.90 eV/f.u.

```
data_BaPtPb2
_chemical_formula_sum 'Ba2 Pt2 Pb4'
_symmetry_space_group_name_H-M 'C m m m'
_symmetry_Int_Tables_number 65
_symmetry_space_group_name_Hall '-C 2 2'
_cell_length_a 6.0354
_cell_length_b 8.6480
_cell_length_c 4.6216
_cell_angle_alpha 90.00
_cell_angle_beta 90.00
_cell_angle_gamma 90.00
loop_
_atom_site_label
_atom_site_type_symbol
_atom_site_fract_x
_atom_site_fract_y
_atom_site_fract_z
_atom_site_occupancy
Ba1 Ba 0.0000 0.0000 0.0000 1
Pt1 Pt 0.0000 0.5000 0.0000 1
Pb1 Pb 0.0000 0.3197 0.5000 1
```

=====

Here is crystalline Be2NbRe at its relaxed geometry from Alexandria. Energies are from GGA-PBEsol.

Calculated values
ρ = 10.235 g cm⁻³
Crystal system = cubic
Energy relative to the elements = 0.27 eV/f.u.

```
data_Be2NbRe
_chemical_formula_sum 'Be8 Nb4 Re4'
_symmetry_space_group_name_H-M 'F m -3 m'
_symmetry_Int_Tables_number 225
_symmetry_space_group_name_Hall '-F 4 2 3'
_cell_length_a 5.7773
_cell_length_b 5.7773
_cell_length_c 5.7773
_cell_angle_alpha 90.00
_cell_angle_beta 90.00
_cell_angle_gamma 90.00
loop_
_atom_site_label
_atom_site_type_symbol
_atom_site_fract_x
_atom_site_fract_y
_atom_site_fract_z
_atom_site_occupancy
Be1 Be 0.2500 0.2500 0.2500 1
Nb1 Nb 0.0000 0.0000 0.0000 1
Re1 Re 0.0000 0.0000 0.5000 1
```

=====

Here is crystalline ZrPtSeBr2 at its relaxed geometry from Alexandria. Energies are from GGA-PBEsol.

Calculated values
ρ = 7.160 g cm⁻³
Energy relative to the elements, uncorrected = 1.36 eV per formula unit
Crystal system = tetragonal

```
data_ZrPtSeBr2
_chemical_formula_sum 'Zr1 Pt1 Se1 Br2'
_symmetry_space_group_name_H-M 'P 4/m m m'
_symmetry_Int_Tables_number 123
_symmetry_space_group_name_Hall '-P 4 2'
_cell_length_a 4.9188
_cell_length_b 4.9188
_cell_length_c 5.0331
_cell_angle_alpha 90.00
_cell_angle_beta 90.00
_cell_angle_gamma 90.00
loop_
_atom_site_label
_atom_site_type_symbol
_atom_site_fract_x
_atom_site_fract_y
_atom_site_fract_z
_atom_site_occupancy
Zr1 Zr 0.0000 0.0000 0.0000 1
Pt1 Pt 0.5000 0.5000 0.5000 1
Se1 Se 0.5000 0.5000 0.0000 1
Br1 Br 0.0000 0.5000 0.5000 1
```